VASP calculation (PBE) on a relaxed CdCuCl crystal.

Structure (extended XYZ):
```
6
Lattice="3.364 0.000 0.000 -1.682 3.038 0.000 0.000 0.000 11.507" Properties=species:S:1:pos:R:3 pbc="T T T"
Cu 0.000 2.766 0.000
Cu 0.000 2.549 5.753
Cd 1.682 1.495 3.903
Cd 1.682 1.495 7.604
Cl 0.000 0.911 9.904
Cl 0.000 0.911 1.603
```

Summary:
Space group = Amm2 (38)
Energy above the most stable polymorph in this dataset = 31.6 kJ/mol of formula units

---

VASP calculation (PBE) on a relaxed Y2TcAu crystal.

Structure (extended XYZ):
```
4
Lattice="5.741 0.015 0.000 2.641 5.097 0.000 -4.191 -2.556 2.977" Properties=species:S:1:pos:R:3 pbc="T T T"
Au 4.191 2.556 0.000
Tc 2.870 0.008 1.488
Y 0.000 0.000 0.000
Y 1.320 2.549 1.488
```

Summary:
E_form = -0.136 eV/atom
Space group = I-4m2 (119)

---

VASP calculation (PBE) on a relaxed BaNb crystal.

Structure (extended XYZ):
```
12
Lattice="-1.541 -3.435 -4.428 5.760 -5.529 2.286 -6.135 -4.170 5.371" Properties=species:S:1:pos:R:3 pbc="T T T"
Ba -2.570 -4.933 4.722
Ba -1.644 -8.570 3.406
Ba 1.601 -6.364 0.566
Ba 0.321 -2.968 2.191
Ba 1.978 -6.929 4.688
Ba -0.057 -2.403 -1.931
Nb 0.286 -8.830 6.751
Nb -4.499 -4.673 1.376
Nb -2.664 -3.426 -0.230
Nb 4.586 -5.907 2.987
Nb 4.106 -3.942 1.630
Nb -2.185 -5.390 1.128
```

Summary:
E_form = 0.802 eV/atom
Space group = Pmmn (59)
Energy above the most stable polymorph in this dataset = 41.4 kJ/mol of formula units

---

VASP calculation (PBE) on a relaxed RbZrTlBi2 crystal.

Structure (extended XYZ):
```
5
Lattice="5.767 0.000 0.000 0.000 5.767 0.000 0.000 0.000 5.835" Properties=species:S:1:pos:R:3 pbc="T T T"
Rb 2.883 2.883 2.918
Tl 0.000 0.000 2.918
Bi 0.000 2.883 0.000
Bi 2.883 0.000 0.000
Zr 0.000 0.000 0.000
```

Summary:
E_form = -0.117 eV/atom
Space group = P4/mmm (123)

---

VASP calculation (PBE) on a relaxed Na5Sb2Te4 crystal.

Structure (extended XYZ):
```
11
Lattice="-2.398 2.327 -0.047 -1.067 -1.324 -11.015 -5.671 -8.097 7.161" Properties=species:S:1:pos:R:3 pbc="T T T"
Na -6.318 -4.035 3.677
Na -6.806 -4.641 -1.363
Na -2.330 -2.452 -2.538
Na -2.818 -3.058 -7.578
Na -1.199 1.164 -0.024
Sb -2.658 -2.727 0.585
Sb -6.478 -4.366 -4.486
Te -0.250 -0.310 -2.583
Te -4.510 -2.347 -4.920
Te -0.817 -1.013 -8.432
Te -4.626 -4.746 1.018
```

Summary:
Space group = Immm (71)

---

VASP calculation (PBE) on a relaxed RbReS2Cl crystal.

Structure (extended XYZ):
```
5
Lattice="5.440 0.000 0.000 0.000 5.440 0.000 0.000 0.000 5.487" Properties=species:S:1:pos:R:3 pbc="T T T"
Re 2.720 2.720 2.743
S 0.000 2.720 0.000
S 2.720 0.000 0.000
Rb 0.000 0.000 0.000
Cl 0.000 0.000 2.743
```

Summary:
Space group = P4/mmm (123)
Energy above the most stable polymorph in this dataset = 1357.4 kJ/mol of formula units

---

VASP calculation (PBE) on a relaxed Pm3Tm6Tl crystal.

Structure (extended XYZ):
```
20
Lattice="3.485 0.000 0.000 0.000 12.319 -3.338 0.000 1.103 14.102" Properties=species:S:1:pos:R:3 pbc="T T T"
Pm 2.614 6.203 11.320
Pm 0.871 7.218 -0.555
Pm 2.614 8.341 5.031
Pm 0.871 5.081 5.734
Pm 2.614 1.038 1.170
Pm 0.871 12.384 9.595
Tm 2.614 6.801 8.098
Tm 0.871 6.621 2.667
Tm 2.614 10.047 -1.594
Tm 0.871 3.375 12.358
Tm 2.614 4.342 0.541
Tm 0.871 9.080 10.223
Tm 2.614 9.597 1.864
Tm 0.871 3.824 8.900
Tm 2.614 1.907 6.201
Tm 0.871 11.514 4.564
Tm 2.614 10.356 7.495
Tm 0.871 3.066 3.270
Tl 2.614 1.238 10.007
Tl 0.871 12.183 0.758
```

Summary:
E_form = 0.026 eV/atom
Space group = P2_1/m (11)
Energy above the most stable polymorph in this dataset = 0.0 kJ/mol of formula units

---

VASP calculation (PBE) on a relaxed HfRu3Cl crystal.

Structure (extended XYZ):
```
5
Lattice="-1.887 -4.332 1.269 4.495 -1.931 0.090 0.421 1.201 4.725" Properties=species:S:1:pos:R:3 pbc="T T T"
Ru 2.247 -0.966 0.045
Ru 0.211 0.600 2.362
Ru -0.944 -2.166 0.635
Hf 0.000 0.000 0.000
Cl 1.515 -2.532 3.042
```

Summary:
Space group = Pm-3m (221)
Energy above the most stable polymorph in this dataset = 496.6 kJ/mol of formula units

---

| no. | electronic total energy (eV per atom) |
| --- | --- |
| 1 | -2.4556 |
| 2 | -6.7792 |
| 3 | -5.1941 |
| 4 | -4.0461 |
| 5 | -2.8780 |
| 6 | -2.4116 |
| 7 | -4.3192 |
| 8 | -6.2333 |